Material: Na2Tl2Sn
Method: DFT, GGA-PBE
State: relaxed

The space group is C2/m (No. 12) and the conventional cell measures 10.674, 4.820 and 7.381 Å, with angles of 90.00, 132.66 and 90.00 degrees. Symmetry generates all atoms from Na at (0.208, 0.000, 0.110), Tl at (0.098, 0.500, 0.299) and Sn at (0.000, 0.000, 0.500).

The magnetic moment is 0.000 μB/f.u. The excess energy over the best structure of this formula in the dataset comes out at 0.0 kJ per mole of atoms. The value obtained for the energy relative to the elements is -53.8 kJ/mol of formula units. The total energy is -2.386 eV/atom.